[1]
The following is a DFT calculation (GGA-PBE) of an optimized crystal structure of EuZr2Zn.

Cell lengths 11.089, 11.089, 11.089 Å; angles 16.66, 16.66, 16.66 degrees
Fractional coordinates of all 4 atoms:
Eu 0.000 0.000 0.000
Zr 0.099 0.099 0.099
Zr 0.901 0.901 0.901
Zn 0.500 0.500 0.500

[2]
The following is a DFT calculation (GGA-PBE) of an optimized crystal structure of GdDy2Au.

Results
The polymorph energy (0 for the lowest one) is 0 meV/atom.

Cell lengths 3.590, 3.590, 8.694 Å; angles 90.00, 90.00, 90.00 degrees
Fractional coordinates of all 4 atoms:
Gd 0.000 0.000 0.000
Dy 0.500 0.500 0.296
Dy 0.500 0.500 0.704
Au 0.000 0.000 0.500

[3]
The following is a DFT calculation (GGA-PBE) of an optimized crystal structure of NpNbAl4.

Cell lengths 5.344, 5.344, 5.344 Å; angles 60.00, 60.00, 60.00 degrees
Fractional coordinates of all 6 atoms:
Np 0.000 0.000 0.000
Nb 0.250 0.250 0.250
Al 0.125 0.625 0.625
Al 0.625 0.125 0.625
Al 0.625 0.625 0.125
Al 0.625 0.625 0.625

[4]
The following is a DFT calculation (GGA-PBE) of an optimized crystal structure of HgGePd2.

Results
The polymorph energy (0 for the lowest one) is 95 meV/atom.

Cell lengths 4.590, 4.590, 4.590 Å; angles 60.00, 60.00, 60.00 degrees
Fractional coordinates of all 4 atoms:
Hg 0.000 0.000 0.000
Ge 0.500 0.500 0.500
Pd 0.250 0.250 0.250
Pd 0.750 0.750 0.750

Number 1: E_form 0.282 eV/atom, total DFT energy (no corrections) -6.879 eV/atom. Number 2: E_form -0.394 eV/atom, total DFT energy (no corrections) -7.034 eV/atom. Number 3: E_form -0.105 eV/atom, total DFT energy (no corrections) -6.436 eV/atom. Number 4: E_form -0.174 eV/atom, total DFT energy (no corrections) -4.000 eV/atom.